No. 1
A plane-wave DFT calculation with PBE was carried out for a relaxed Y2AgRh crystal.

Output
Uncorrected energy, eV/atom: -6.21
SG: C2/m
E_form, meV/atom: -430

a b c (Å): 3.969 3.969 7.787
angles (deg): 104.70 104.70 59.93
Fractional positions:
Y1 0.237 0.237 0.210
Y2 0.763 0.763 0.790
Ag1 0.000 0.000 0.500
Rh1 0.500 0.500 0.000

=====

No. 2
A plane-wave DFT calculation with PBE was carried out for a relaxed CaMg2Mn crystal.

Output
Uncorrected energy, eV/atom: -3.38
SG: Fm-3m
E_form, meV/atom: 213

a b c (Å): 5.098 5.098 5.098
angles (deg): 60.00 60.00 60.00
Fractional positions:
Ca1 0.000 0.000 0.000
Mg1 0.250 0.250 0.250
Mg2 0.750 0.750 0.750
Mn1 0.500 0.500 0.500

=====

No. 3
A plane-wave DFT calculation with PBE was carried out for a relaxed Hg3I2 crystal.

Output
Uncorrected energy, eV/atom: -0.97
SG: Fdd2
Uncorrected formation energy, kJ/mol of atoms: -17

a b c (Å): 9.882 9.556 13.348
angles (deg): 47.66 45.62 86.72
Fractional positions:
Hg1 0.000 0.000 0.000
Hg2 0.200 0.429 0.354
Hg3 0.233 0.896 0.821
Hg4 0.250 0.250 0.250
Hg5 0.429 0.200 0.017
Hg6 0.896 0.233 0.050
I1 0.371 0.693 0.330
I2 0.645 0.920 0.557
I3 0.693 0.371 0.605
I4 0.920 0.645 0.879

=====

No. 4
A plane-wave DFT calculation with PBE was carried out for a relaxed Ca2CoNi crystal.

Output
Uncorrected energy, eV/atom: -3.95
E above lowest polymorph, meV per atom: 236.7
SG: P2/m
E_form, meV/atom: 269

a b c (Å): 3.384 3.484 6.902
angles (deg): 90.00 90.07 90.00
Fractional positions:
Ca1 0.000 0.000 0.246
Ca2 0.000 0.000 0.754
Co1 0.500 0.500 0.500
Ni1 0.500 0.500 0.000

=====

No. 5
A plane-wave DFT calculation with PBE was carried out for a relaxed Zr2MnNb crystal.

Output
Uncorrected energy, eV/atom: -8.58
E above lowest polymorph, meV per atom: 443.0
SG: R-3m
E_form, meV/atom: 501

a b c (Å): 10.834 10.834 10.834
angles (deg): 15.64 15.64 15.64
Fractional positions:
Zr1 0.083 0.083 0.083
Zr2 0.917 0.917 0.917
Mn1 0.000 0.000 0.000
Nb1 0.500 0.500 0.500

=====

No. 6
A plane-wave DFT calculation with PBE was carried out for a relaxed TeIrBr2 crystal.

Output
Uncorrected energy, eV/atom: -3.82
SG: Cmmm
Uncorrected formation energy, kJ/mol of atoms: 2

a b c (Å): 7.218 7.218 3.553
angles (deg): 90.00 90.00 135.75
Fractional positions:
Te1 0.000 0.000 0.000
Ir1 0.500 0.500 0.000
Br1 0.369 0.631 0.500
Br2 0.631 0.369 0.500

=====

No. 7
A plane-wave DFT calculation with PBE was carried out for a relaxed Si2P crystal.

Output
Uncorrected energy, eV/atom: -5.42
E above lowest polymorph, meV per atom: 0.0
SG: C2/m
Uncorrected formation energy, kJ/mol of atoms: 0

a b c (Å): 5.426 5.426 6.737
angles (deg): 98.45 98.45 39.20
Fractional positions:
Si1 0.005 0.005 0.326
Si2 0.236 0.236 0.390
Si3 0.764 0.764 0.610
Si4 0.995 0.995 0.674
P1 0.391 0.391 0.176
P2 0.609 0.609 0.824

=====

No. 8
A plane-wave DFT calculation with PBE was carried out for a relaxed ZrBe crystal.

Output
Uncorrected energy, eV/atom: -5.15
SG: P6_3/mmc
E_form, meV/atom: 991

a b c (Å): 4.396 4.396 5.071
angles (deg): 90.00 90.00 120.00
Fractional positions:
Zr1 0.333 0.667 0.250
Zr2 0.667 0.333 0.750
Be1 0.333 0.667 0.750
Be2 0.667 0.333 0.250

=====

What did the seventh record say?
A plane-wave DFT calculation with PBE was carried out for a relaxed Si2P crystal.

Output
Uncorrected energy, eV/atom: -5.42
E above lowest polymorph, meV per atom: 0.0
SG: C2/m
Uncorrected formation energy, kJ/mol of atoms: 0

a b c (Å): 5.426 5.426 6.737
angles (deg): 98.45 98.45 39.20
Fractional positions:
Si1 0.005 0.005 0.326
Si2 0.236 0.236 0.390
Si3 0.764 0.764 0.610
Si4 0.995 0.995 0.674
P1 0.391 0.391 0.176
P2 0.609 0.609 0.824

=====

Question: uncorrected energy of number 6 (TeIrBr2)?
Answer: -3.82 eV/atom